This record from Alexandria via LeMat-Bulk describes Si2OsAu2 after structural relaxation. The functional is PBE.

Structure (CIF):
```
data_Si2OsAu2
_chemical_formula_sum 'Si4 Os2 Au4'
_space_group_name_H-M_alt 'P 4/m b m'
_space_group_IT_number 127
_space_group_name_Hall '-P 4 2ab'
_cell_length_a 7.1927
_cell_length_b 7.1927
_cell_length_c 3.1362
_cell_angle_alpha 90.00
_cell_angle_beta 90.00
_cell_angle_gamma 90.00
loop_
_atom_site_label
_atom_site_type_symbol
_atom_site_fract_x
_atom_site_fract_y
_atom_site_fract_z
_atom_site_occupancy
Si1 Si 0.1788 0.3212 0.0000 1
Os1 Os 0.0000 0.0000 0.5000 1
Au1 Au 0.1338 0.6338 0.5000 1
```

Results
Density of states at the Fermi level = 5.9 states/eV/cell
Crystal system = tetragonal
Formation energy (no corrections) = 0.66 eV/atom
Energy above the lowest structure with this stoichiometry = 0.000 eV/atom
M_tot = 0.5 μB per cell

This record from Alexandria via LeMat-Bulk describes SiOs2Au after structural relaxation. The functional is PBE.

Structure (CIF):
```
data_SiOs2Au
_chemical_formula_sum 'Si3 Os6 Au3'
_space_group_name_H-M_alt 'R 3 m'
_space_group_IT_number 160
_space_group_name_Hall 'R 3 -2"'
_cell_length_a 2.8412
_cell_length_b 2.8412
_cell_length_c 25.6634
_cell_angle_alpha 90.00
_cell_angle_beta 90.00
_cell_angle_gamma 120.00
loop_
_atom_site_label
_atom_site_type_symbol
_atom_site_fract_x
_atom_site_fract_y
_atom_site_fract_z
_atom_site_occupancy
Si1 Si 0.0000 0.0000 0.0000 1
Os1 Os 0.0000 0.0000 0.2598 1
Os2 Os 0.0000 0.0000 0.5122 1
Au1 Au 0.0000 0.0000 0.7505 1
```

Results
Density of states at the Fermi level = 4.2 states/eV/cell
Crystal system = trigonal
Formation energy (no corrections) = 0.22 eV/atom
Energy above the lowest structure with this stoichiometry = 0.074 eV/atom
M_tot = 0.0 μB per cell

This record from Alexandria via LeMat-Bulk describes SiOs2Au after structural relaxation. The functional is PBE.

Structure (CIF):
```
data_SiOs2Au
_chemical_formula_sum 'Si1 Os2 Au1'
_space_group_name_H-M_alt 'P m m 2'
_space_group_IT_number 25
_cell_length_a 2.8259
_cell_length_b 3.8265
_cell_length_c 5.6255
_cell_angle_alpha 90.00
_cell_angle_beta 90.00
_cell_angle_gamma 90.00
loop_
_space_group_symop_operation_xyz
'x,y,z'
'-x,-y,z'
'-x,y,z'
'x,-y,z'
loop_
_atom_site_label
_atom_site_type_symbol
_atom_site_fract_x
_atom_site_fract_y
_atom_site_fract_z
_atom_site_occupancy
Si1 Si 0.0000 0.0000 0.0000 1
Os1 Os 0.0000 0.0000 0.5665 1
Os2 Os 0.5000 0.5000 0.7701 1
Au1 Au 0.5000 0.5000 0.2762 1
```

Results
Density of states at the Fermi level = 2.9 states/eV/cell
Crystal system = orthorhombic
Formation energy (no corrections) = 0.37 eV/atom
Energy above the lowest structure with this stoichiometry = 0.219 eV/atom
M_tot = 0.0 μB per cell

This record from Alexandria via LeMat-Bulk describes Si2OsAu after structural relaxation. The functional is PBE.

Structure (CIF):
```
data_Si2OsAu
_chemical_formula_sum 'Si4 Os2 Au2'
_space_group_name_H-M_alt 'C 1 m 1'
_space_group_IT_number 8
_cell_length_a 12.9585
_cell_length_b 2.8456
_cell_length_c 3.6396
_cell_angle_alpha 90.00
_cell_angle_beta 106.22
_cell_angle_gamma 90.00
loop_
_space_group_symop_operation_xyz
'x,y,z'
'x,-y,z'
'x+1/2,y+1/2,z'
'x+1/2,-y+1/2,z'
loop_
_atom_site_label
_atom_site_type_symbol
_atom_site_fract_x
_atom_site_fract_y
_atom_site_fract_z
_atom_site_occupancy
Si1 Si 0.0000 0.0000 0.0000 1
Si2 Si 0.2259 0.0000 0.7244 1
Os1 Os 0.0670 0.5000 0.5669 1
Au1 Au 0.3341 0.5000 0.3316 1
```

Results
Density of states at the Fermi level = 2.5 states/eV/cell
Crystal system = monoclinic
Formation energy (no corrections) = 0.03 eV/atom
Energy above the lowest structure with this stoichiometry = 0.090 eV/atom
M_tot = 0.0 μB per cell

This record from Alexandria via LeMat-Bulk describes SiOs2Au after structural relaxation. The functional is PBE.

Structure (CIF):
```
data_SiOs2Au
_chemical_formula_sum 'Si1 Os2 Au1'
_space_group_name_H-M_alt 'P m m m'
_space_group_IT_number 47
_cell_length_a 2.8050
_cell_length_b 4.5604
_cell_length_c 4.7428
_cell_angle_alpha 90.00
_cell_angle_beta 90.00
_cell_angle_gamma 90.00
loop_
_space_group_symop_operation_xyz
'x,y,z'
'-x,-y,-z'
'-x,-y,z'
'x,y,-z'
'x,-y,-z'
'-x,y,z'
'-x,y,-z'
'x,-y,z'
loop_
_atom_site_label
_atom_site_type_symbol
_atom_site_fract_x
_atom_site_fract_y
_atom_site_fract_z
_atom_site_occupancy
Si1 Si 0.0000 0.0000 0.0000 1
Os1 Os 0.0000 0.5000 0.5000 1
Os2 Os 0.5000 0.5000 0.0000 1
Au1 Au 0.5000 0.0000 0.5000 1
```

Results
Density of states at the Fermi level = 3.4 states/eV/cell
Crystal system = orthorhombic
Formation energy (no corrections) = 0.58 eV/atom
Energy above the lowest structure with this stoichiometry = 0.433 eV/atom
M_tot = 0.0 μB per cell

This record from Alexandria via LeMat-Bulk describes SiOsAu2 after structural relaxation. The functional is PBE.

Structure (CIF):
```
data_SiOsAu2
_chemical_formula_sum 'Si1 Os1 Au2'
_space_group_name_H-M_alt 'P m m m'
_space_group_IT_number 47
_cell_length_a 2.7843
_cell_length_b 4.2200
_cell_length_c 5.5195
_cell_angle_alpha 90.00
_cell_angle_beta 90.00
_cell_angle_gamma 90.00
loop_
_space_group_symop_operation_xyz
'x,y,z'
'-x,-y,-z'
'-x,-y,z'
'x,y,-z'
'x,-y,-z'
'-x,y,z'
'-x,y,-z'
'x,-y,z'
loop_
_atom_site_label
_atom_site_type_symbol
_atom_site_fract_x
_atom_site_fract_y
_atom_site_fract_z
_atom_site_occupancy
Si1 Si 0.0000 0.0000 0.0000 1
Os1 Os 0.0000 0.0000 0.5000 1
Au1 Au 0.5000 0.5000 0.2507 1
```

Results
Density of states at the Fermi level = 2.9 states/eV/cell
Crystal system = orthorhombic
Formation energy (no corrections) = 0.59 eV/atom
Energy above the lowest structure with this stoichiometry = 0.460 eV/atom
M_tot = 0.0 μB per cell

This record from Alexandria via LeMat-Bulk describes SiOsAu2 after structural relaxation. The functional is PBE.

Structure (CIF):
```
data_SiOsAu2
_chemical_formula_sum 'Si2 Os2 Au4'
_space_group_name_H-M_alt 'C 1 2/m 1'
_space_group_IT_number 12
_cell_length_a 5.2945
_cell_length_b 10.1118
_cell_length_c 2.9406
_cell_angle_alpha 90.00
_cell_angle_beta 123.65
_cell_angle_gamma 90.00
loop_
_space_group_symop_operation_xyz
'x,y,z'
'-x,-y,-z'
'-x,y,-z'
'x,-y,z'
'x+1/2,y+1/2,z'
'-x+1/2,-y+1/2,-z'
'-x+1/2,y+1/2,-z'
'x+1/2,-y+1/2,z'
loop_
_atom_site_label
_atom_site_type_symbol
_atom_site_fract_x
_atom_site_fract_y
_atom_site_fract_z
_atom_site_occupancy
Si1 Si 0.0000 0.0000 0.0000 1
Os1 Os 0.0000 0.5000 0.0000 1
Au1 Au 0.2500 0.2500 0.5000 1
```

Results
Density of states at the Fermi level = 3.4 states/eV/cell
Crystal system = monoclinic
Formation energy (no corrections) = 0.39 eV/atom
Energy above the lowest structure with this stoichiometry = 0.262 eV/atom
M_tot = 0.8 μB per cell

This record from Alexandria via LeMat-Bulk describes SiOs2Au after structural relaxation. The functional is PBE.

Structure (CIF):
```
data_SiOs2Au
_chemical_formula_sum 'Si2 Os4 Au2'
_space_group_name_H-M_alt 'I m m m'
_space_group_IT_number 71
_space_group_name_Hall '-I 2 2'
_cell_length_a 2.8627
_cell_length_b 4.4410
_cell_length_c 9.3628
_cell_angle_alpha 90.00
_cell_angle_beta 90.00
_cell_angle_gamma 90.00
loop_
_atom_site_label
_atom_site_type_symbol
_atom_site_fract_x
_atom_site_fract_y
_atom_site_fract_z
_atom_site_occupancy
Si1 Si 0.0000 0.0000 0.0000 1
Os1 Os 0.0000 0.5000 0.2909 1
Au1 Au 0.0000 0.0000 0.5000 1
```

Results
Density of states at the Fermi level = 3.8 states/eV/cell
Crystal system = orthorhombic
Formation energy (no corrections) = 0.18 eV/atom
Energy above the lowest structure with this stoichiometry = 0.035 eV/atom
M_tot = 0.0 μB per cell

V, respectively: 162.25 179.41 60.83 128.87 60.67 64.85 131.05 119.03 Å³/cell.